Below is an optimized crystal structure of Y2ZnOsC, with properties calculated at the PBE level.

Results
Crystal system ... tetragonal
Symmetry ... P4/mmm
M_tot ... 0.013 μB per cell
Uncorrected energy ... -36.62 eV for the cell shown

abc: 4.968 4.968 3.900
angles: 90.00 90.00 90.00
Positions (direct):
Y 0.500 0.000 0.000
Y 0.000 0.500 0.000
C 0.000 0.000 0.000
Os 0.000 0.000 0.500
Zn 0.500 0.500 0.500

---

Below is an optimized crystal structure of ZrOs2C3, with properties calculated at the PBE level.

Results
Crystal system ... trigonal
Symmetry ... P-3m1
M_tot ... 0.011 μB per cell
Uncorrected energy ... -55.62 eV for the cell shown

abc: 3.286 3.286 7.067
angles: 90.00 90.00 120.00
Positions (direct):
Os 0.333 0.667 0.157
Os 0.667 0.333 0.843
C 0.000 0.000 0.000
C 0.333 0.667 0.696
C 0.667 0.333 0.304
Zr 0.000 0.000 0.500

---

Below is an optimized crystal structure of Zr2OsC3, with properties calculated at the PBE level.

Results
Crystal system ... trigonal
Symmetry ... P-3m1
M_tot ... 0.001 μB per cell
Uncorrected energy ... -57.26 eV for the cell shown

abc: 3.321 3.321 7.517
angles: 90.00 90.00 120.00
Positions (direct):
Zr 0.333 0.667 0.683
Zr 0.667 0.333 0.317
Os 0.000 0.000 0.000
C 0.000 0.000 0.500
C 0.333 0.667 0.138
C 0.667 0.333 0.862

---

Below is an optimized crystal structure of Ta4PPbC2, with properties calculated at the PBE level.

Results
Crystal system ... hexagonal
Symmetry ... P-6m2
M_tot ... 0.007 μB per cell
Uncorrected energy ... -78.71 eV for the cell shown

abc: 3.295 3.295 12.840
angles: 90.00 90.00 120.00
Positions (direct):
Ta 0.000 0.000 0.689
Ta 0.667 0.333 0.866
Ta 0.667 0.333 0.134
Ta 0.000 0.000 0.311
C 0.333 0.667 0.228
C 0.333 0.667 0.772
P 0.000 0.000 0.000
Pb 0.667 0.333 0.500

---

Below is an optimized crystal structure of Zr4PPbC2, with properties calculated at the PBE level.

Results
Crystal system ... hexagonal
Symmetry ... P-6m2
M_tot ... 0.007 μB per cell
Uncorrected energy ... -68.77 eV for the cell shown

abc: 3.437 3.437 13.590
angles: 90.00 90.00 120.00
Positions (direct):
Zr 0.000 0.000 0.316
Zr 0.000 0.000 0.684
Zr 0.667 0.333 0.132
Zr 0.667 0.333 0.868
C 0.333 0.667 0.772
C 0.333 0.667 0.228
Pb 0.667 0.333 0.500
P 0.000 0.000 0.000

---

Below is an optimized crystal structure of Zr4PPbC2, with properties calculated at the PBE level.

Results
Crystal system ... hexagonal
Symmetry ... P-6m2
M_tot ... 0.007 μB per cell
Uncorrected energy ... -68.77 eV for the cell shown

abc: 3.437 3.437 13.590
angles: 90.00 90.00 120.00
Positions (direct):
Zr 0.333 0.667 0.816
Zr 0.333 0.667 0.184
Zr 0.667 0.333 0.632
Zr 0.667 0.333 0.368
P 0.333 0.667 0.500
Pb 0.667 0.333 0.000
C 0.000 0.000 0.272
C 0.000 0.000 0.728

---

Below is an optimized crystal structure of Zr4PPb2C, with properties calculated at the PBE level.

Results
Crystal system ... trigonal
Symmetry ... P-3m1
M_tot ... 0.005 μB per cell
Uncorrected energy ... -62.05 eV for the cell shown

abc: 3.515 3.515 15.260
angles: 90.00 90.00 120.00
Positions (direct):
Pb 0.667 0.333 0.241
Pb 0.333 0.667 0.759
Zr 0.333 0.667 0.400
Zr 0.333 0.667 0.078
Zr 0.667 0.333 0.600
Zr 0.667 0.333 0.922
P 0.000 0.000 0.500
C 0.000 0.000 0.000

---

Below is an optimized crystal structure of PPd4C2S, with properties calculated at the PBE level.

Results
Crystal system ... hexagonal
Symmetry ... P-6m2
Uncorrected energy ... -43.50 eV for the cell shown

abc: 3.346 3.346 11.128
angles: 90.00 90.00 120.00
Positions (direct):
S 0.667 0.333 0.500
C 0.333 0.667 0.743
C 0.333 0.667 0.257
Pd 0.667 0.333 0.858
Pd 0.000 0.000 0.345
Pd 0.000 0.000 0.655
Pd 0.667 0.333 0.142
P 0.000 0.000 0.000

---

Below is an optimized crystal structure of Zr4PC2S, with properties calculated at the PBE level.

Results
Crystal system ... hexagonal
Symmetry ... P-6m2
M_tot ... 0.002 μB per cell
Uncorrected energy ... -71.79 eV for the cell shown

abc: 3.444 3.444 12.265
angles: 90.00 90.00 120.00
Positions (direct):
S 0.667 0.333 0.000
Zr 0.667 0.333 0.646
Zr 0.667 0.333 0.354
Zr 0.333 0.667 0.148
Zr 0.333 0.667 0.852
C 0.000 0.000 0.751
C 0.000 0.000 0.249
P 0.333 0.667 0.500

---

Below is an optimized crystal structure of Zr4PC2S, with properties calculated at the PBE level.

Results
Crystal system ... hexagonal
Symmetry ... P-6m2
M_tot ... 0.002 μB per cell
Uncorrected energy ... -71.79 eV for the cell shown

abc: 3.444 3.444 12.265
angles: 90.00 90.00 120.00
Positions (direct):
Zr 0.667 0.333 0.146
Zr 0.000 0.000 0.648
Zr 0.000 0.000 0.352
Zr 0.667 0.333 0.854
C 0.333 0.667 0.749
C 0.333 0.667 0.251
P 0.000 0.000 0.000
S 0.667 0.333 0.500

---

Below is an optimized crystal structure of Zr4SbPC2, with properties calculated at the PBE level.

Results
Crystal system ... hexagonal
Symmetry ... P-6m2
M_tot ... 0.001 μB per cell
Uncorrected energy ... -69.61 eV for the cell shown

abc: 3.443 3.443 13.239
angles: 90.00 90.00 120.00
Positions (direct):
Sb 0.000 0.000 0.000
Zr 0.000 0.000 0.635
Zr 0.667 0.333 0.174
Zr 0.000 0.000 0.365
Zr 0.667 0.333 0.826
C 0.333 0.667 0.267
C 0.333 0.667 0.733
P 0.667 0.333 0.500

---

Below is an optimized crystal structure of Zr4Sb2PC, with properties calculated at the PBE level.

Results
Crystal system ... trigonal
Symmetry ... P-3m1
M_tot ... 0.002 μB per cell
Uncorrected energy ... -64.24 eV for the cell shown

abc: 3.625 3.625 13.859
angles: 90.00 90.00 120.00
Positions (direct):
Sb 0.667 0.333 0.742
Sb 0.333 0.667 0.258
P 0.000 0.000 0.000
Zr 0.667 0.333 0.106
Zr 0.333 0.667 0.586
Zr 0.333 0.667 0.894
Zr 0.667 0.333 0.414
C 0.000 0.000 0.500